Computed, not measured: a relaxed PmBSb2 crystal at the PBE level of DFT.

Cell lengths 4.3049, 4.3049, 5.0082 Å; angles 90.00, 90.00, 90.00 degrees
With the nearest neighbours (Å) after each atom.
Space group P4/mmm (No. 123)
Unique sites:
Pm 0.0000 0.0000 0.0000 (multiplicity 1)  4 B 3.04, 8 Sb 3.30
B 0.5000 0.5000 0.0000 (multiplicity 1)  4 Pm 3.04, 8 Sb 3.30
Sb 0.0000 0.5000 0.5000 (multiplicity 2)  4 Sb 3.04, 4 Pm 3.30, 4 B 3.30

Properties
* final energy: -18.6 eV for the cell shown
* magnetic moment: 0.0 μB/f.u.